(1)
{"formula": "Ca4MgB4C2O18", "functional": "PBE", "state": "optimized geometry", "lattice_angstrom": [[9.3859, -3.9202, 0.0000], [9.3859, 3.9202, 0.0000], [-1.0305, 0.0000, 4.4927]], "species": ["Ca", "Ca", "Ca", "Ca", "Mg", "B", "B", "B", "B", "C", "C", "O", "O", "O", "O", "O", "O", "O", "O", "O", "O", "O", "O", "O", "O", "O", "O", "O", "O"], "fractional_positions": [[0.0796, 0.6110, 0.8796], [0.3890, 0.9204, 0.1204], [0.6110, 0.0796, 0.8796], [0.9204, 0.3890, 0.1204], [0.0000, 0.0000, 0.0000], [0.0923, 0.0923, 0.5369], [0.2646, 0.7354, 0.5000], [0.7354, 0.2646, 0.5000], [0.9077, 0.9077, 0.4631], [0.3009, 0.3009, 0.3739], [0.6991, 0.6991, 0.6261], [0.0943, 0.0943, 0.8461], [0.1060, 0.7948, 0.6369], [0.1406, 0.4265, 0.2346], [0.1613, 0.1613, 0.4585], [0.2052, 0.8940, 0.3631], [0.3128, 0.5920, 0.2612], [0.3348, 0.3348, 0.6485], [0.4080, 0.6872, 0.7388], [0.4265, 0.1406, 0.2346], [0.5735, 0.8594, 0.7654], [0.5920, 0.3128, 0.2612], [0.6652, 0.6652, 0.3515], [0.6872, 0.4080, 0.7388], [0.7948, 0.1060, 0.6369], [0.8387, 0.8387, 0.5415], [0.8594, 0.5735, 0.7654], [0.8940, 0.2052, 0.3631], [0.9057, 0.9057, 0.1539]], "e_form_raw_ev_per_atom": -2.0395}

***

(2)
{"formula": "CaNd2BC2", "functional": "PBE", "state": "optimized geometry", "lattice_angstrom": [[5.7691, 0.0000, 0.0000], [0.0000, 10.5056, 0.0000], [0.0000, 0.0000, 3.7877]], "species": ["Ca", "Ca", "Nd", "Nd", "Nd", "Nd", "B", "B", "C", "C", "C", "C"], "fractional_positions": [[0.0000, 0.0000, 0.0000], [0.5000, 0.5000, 0.5000], [0.0432, 0.2995, 0.5000], [0.4568, 0.7995, 0.0000], [0.5432, 0.2005, 0.0000], [0.9568, 0.7005, 0.5000], [0.0000, 0.5000, 0.0000], [0.5000, 0.0000, 0.5000], [0.1926, 0.5933, 0.0000], [0.3074, 0.0933, 0.5000], [0.6926, 0.9067, 0.5000], [0.8074, 0.4067, 0.0000]], "ef_ev_per_fu": -0.409}

***

(3)
{"formula": "Ca2B2Os2C", "functional": "PBE", "state": "optimized geometry", "lattice_angstrom": [[5.4575, -1.9332, 0.0000], [5.4575, 1.9332, 0.0000], [-4.0864, 0.0000, 5.3972]], "species": ["Ca", "Ca", "B", "B", "Os", "Os", "C"], "fractional_positions": [[0.0712, 0.0712, 0.3189], [0.9288, 0.9288, 0.6811], [0.2877, 0.2877, 0.2158], [0.7123, 0.7123, 0.7842], [0.2989, 0.2989, 0.9110], [0.7011, 0.7011, 0.0890], [0.5000, 0.5000, 0.0000]], "ef_ev_per_fu": -1.736}

***

(4)
{"formula": "CaPr2BC2", "functional": "PBE", "state": "optimized geometry", "lattice_angstrom": [[5.8111, 0.0000, 0.0000], [0.0000, 10.5440, 0.0000], [0.0000, 0.0000, 3.8135]], "species": ["Ca", "Ca", "Pr", "Pr", "Pr", "Pr", "B", "B", "C", "C", "C", "C"], "fractional_positions": [[0.0000, 0.0000, 0.0000], [0.5000, 0.5000, 0.5000], [0.0417, 0.2996, 0.5000], [0.4583, 0.7996, 0.0000], [0.5417, 0.2004, 0.0000], [0.9583, 0.7004, 0.5000], [0.0000, 0.5000, 0.0000], [0.5000, 0.0000, 0.5000], [0.1941, 0.5909, 0.0000], [0.3059, 0.0909, 0.5000], [0.6941, 0.9091, 0.5000], [0.8059, 0.4091, 0.0000]], "ef_ev_per_fu": -0.307}

***

(5)
{"formula": "CaB2PtC", "functional": "PBE", "state": "optimized geometry", "lattice_angstrom": [[3.6586, 0.0000, 0.0000], [0.0000, 3.6586, 0.0000], [0.0000, 0.0000, 4.7249]], "species": ["Ca", "B", "B", "Pt", "C"], "fractional_positions": [[0.0000, 0.0000, 0.0000], [0.0000, 0.5000, 0.5000], [0.5000, 0.0000, 0.5000], [0.5000, 0.5000, 0.0000], [0.0000, 0.0000, 0.5000]], "ef_ev_per_fu": 5.946}

***

(6)
{"formula": "CaSm2BC2", "functional": "PBE", "state": "optimized geometry", "lattice_angstrom": [[5.7037, 0.0000, 0.0000], [0.0000, 10.4315, 0.0000], [0.0000, 0.0000, 3.7452]], "species": ["Ca", "Ca", "Sm", "Sm", "Sm", "Sm", "B", "B", "C", "C", "C", "C"], "fractional_positions": [[0.0000, 0.0000, 0.0000], [0.5000, 0.5000, 0.5000], [0.0460, 0.2992, 0.5000], [0.4540, 0.7992, 0.0000], [0.5460, 0.2008, 0.0000], [0.9540, 0.7008, 0.5000], [0.0000, 0.5000, 0.0000], [0.5000, 0.0000, 0.5000], [0.1901, 0.5972, 0.0000], [0.3099, 0.0972, 0.5000], [0.6901, 0.9028, 0.5000], [0.8099, 0.4028, 0.0000]], "ef_ev_per_fu": -0.570}

***

(7)
{"formula": "CaYB6C6", "functional": "PBE", "state": "optimized geometry", "lattice_angstrom": [[4.8024, 0.0000, 0.0000], [0.0000, 4.8024, 0.0000], [0.0000, 0.0000, 4.8024]], "species": ["Ca", "Y", "B", "B", "B", "B", "B", "B", "C", "C", "C", "C", "C", "C"], "fractional_positions": [[0.0000, 0.0000, 0.0000], [0.5000, 0.5000, 0.5000], [0.0000, 0.2481, 0.5000], [0.0000, 0.7519, 0.5000], [0.2481, 0.5000, 0.0000], [0.5000, 0.0000, 0.2481], [0.5000, 0.0000, 0.7519], [0.7519, 0.5000, 0.0000], [0.0000, 0.5000, 0.2531], [0.0000, 0.5000, 0.7469], [0.2531, 0.0000, 0.5000], [0.5000, 0.2531, 0.0000], [0.5000, 0.7469, 0.0000], [0.7469, 0.0000, 0.5000]], "ef_ev_per_fu": -0.655}

***

(8)
{"formula": "Ca2YBC", "functional": "PBE", "state": "optimized geometry", "lattice_angstrom": [[6.3340, 0.0000, 0.0000], [0.0000, 6.3340, 0.0000], [0.0000, 0.0000, 4.3330]], "species": ["Ca", "Ca", "Y", "B", "C"], "fractional_positions": [[0.0000, 0.5000, 0.0000], [0.5000, 0.0000, 0.0000], [0.0000, 0.0000, 0.0000], [0.0000, 0.0000, 0.5000], [0.5000, 0.5000, 0.5000]], "ef_ev_per_fu": 10.977}